## P
Material: Ta2BeH
Method: DFT, PBE
State: optimized geometry

POSCAR file:
```
Ta2BeH
1.0
-1.010 -0.889 -2.515
1.679 -1.480 -1.769
-2.154 -7.435 1.875
Be H Ta
1 1 2
direct
0.000 0.000 0.000
0.500 0.500 0.500
0.108 0.108 0.675
0.892 0.892 0.325
```

* density: 11.25 g/cm³
* N(E_F): 3.1 states/eV per cell
* crystal system: trigonal

=====

## Q
Material: Ta2BeH
Method: DFT, PBE
State: optimized geometry

POSCAR file:
```
Ta2BeH
1.0
0.000 2.907 2.907
2.907 0.000 2.907
2.907 2.907 0.000
Be H Ta
1 1 2
direct
0.500 0.500 0.500
0.000 0.000 0.000
0.250 0.250 0.250
0.750 0.750 0.750
```

* density: 12.56 g/cm³
* N(E_F): 2.3 states/eV per cell
* crystal system: cubic

=====

## R
Material: Ta2BeH
Method: DFT, PBE
State: optimized geometry

POSCAR file:
```
Ta2BeH
1.0
-4.290 2.685 2.916
-3.827 -3.925 -2.016
-3.549 -2.290 2.737
Be H Ta
2 2 4
direct
0.000 0.000 0.000
0.750 0.250 0.500
0.500 0.500 0.000
0.250 0.750 0.500
0.562 0.125 0.250
0.188 0.625 0.250
0.375 0.438 0.750
0.875 0.812 0.750
```

* density: 12.59 g/cm³
* N(E_F): 2.0 states/eV per cell
* crystal system: tetragonal

=====

Result of the stability comparison: R is the most stable of them.

=====

## P
Material: TaBeH2
Method: DFT, PBE
State: optimized geometry

POSCAR file:
```
TaBeH2
1.0
-0.667 4.629 -1.771
-0.426 -1.220 -3.028
-6.920 -5.199 3.069
Ta Be H
4 4 8
direct
0.113 0.000 0.925
0.113 0.500 0.425
0.700 0.000 0.514
0.700 0.500 0.014
0.125 0.000 0.212
0.125 0.500 0.712
0.416 0.000 0.700
0.416 0.500 0.200
0.398 0.000 0.181
0.398 0.500 0.681
0.870 0.000 0.374
0.870 0.500 0.874
0.467 0.000 0.897
0.467 0.500 0.397
0.776 0.000 0.152
0.776 0.500 0.652
```

* density: 10.04 g/cm³
* N(E_F): 3.0 states/eV per cell
* crystal system: monoclinic

=====

## Q
Material: TaBeH2
Method: DFT, PBE
State: optimized geometry

POSCAR file:
```
TaBeH2
1.0
-7.377 -1.320 -0.780
0.561 -3.248 0.193
-0.578 0.204 5.119
Ta Be H
4 4 8
direct
0.746 0.000 0.070
0.254 0.000 0.070
0.246 0.500 0.570
0.754 0.500 0.570
0.000 0.000 0.428
0.500 0.500 0.928
0.000 0.500 0.199
0.500 0.000 0.699
0.868 0.000 0.702
0.132 0.000 0.702
0.368 0.500 0.202
0.632 0.500 0.202
0.635 0.000 0.436
0.365 0.000 0.436
0.135 0.500 0.936
0.865 0.500 0.936
```

* density: 9.94 g/cm³
* N(E_F): 3.3 states/eV per cell
* crystal system: orthorhombic

=====

Result of the stability comparison: Q is the most stable of them.

=====

## P
Material: TaBeH3
Method: DFT, PBE
State: optimized geometry

POSCAR file:
```
TaBeH3
1.0
3.196 0.000 0.000
0.000 3.196 0.000
0.000 0.000 3.196
Be H Ta
1 3 1
direct
0.000 0.000 0.000
0.000 0.500 0.000
0.000 0.000 0.500
0.500 0.000 0.000
0.500 0.500 0.500
```

* density: 9.82 g/cm³
* N(E_F): 3.2 states/eV per cell
* crystal system: cubic

=====

## Q
Material: TaBeH3
Method: DFT, PBE
State: optimized geometry

POSCAR file:
```
TaBeH3
1.0
3.523 0.000 0.000
0.000 3.523 0.000
0.000 0.000 3.523
Be H Ta
1 3 1
direct
0.500 0.500 0.500
0.000 0.500 0.000
0.000 0.000 0.500
0.500 0.000 0.000
0.000 0.000 0.000
```

* density: 7.33 g/cm³
* N(E_F): 1.8 states/eV per cell
* crystal system: cubic

=====

Result of the stability comparison: P is the most stable of them.

=====

## P
Material: TbBeH
Method: DFT, PBE
State: optimized geometry

POSCAR file:
```
TbBeH
1.0
-0.162 -2.882 -1.222
0.573 -1.266 2.908
-8.154 1.252 2.151
Be Tb H
2 2 2
direct
0.753 0.250 0.506
0.247 0.750 0.494
0.899 0.750 0.799
0.101 0.250 0.201
0.438 0.250 0.876
0.562 0.750 0.124
```

* density: 6.63 g/cm³
* N(E_F): 3.9 states/eV per cell
* crystal system: orthorhombic

=====

## Q
Material: TbBeH
Method: DFT, PBE
State: optimized geometry

POSCAR file:
```
TbBeH
1.0
-1.304 -3.041 0.943
1.175 -1.407 -2.912
3.576 1.297 2.848
Be Tb H
1 1 1
direct
0.281 0.281 0.563
0.617 0.617 0.233
0.102 0.102 0.204
```

* density: 5.81 g/cm³
* N(E_F): 0.7 states/eV per cell
* crystal system: tetragonal

=====

Result of the stability comparison: P is the most stable of them.